Compound: WS2
Source: OQMD via LeMat-Bulk
Functional: PBE
Structure: optimized geometry

Output
total energy	-7.447	eV per atom
space group	P4_2/mnm

Unit cell a=5.874 b=5.874 c=3.223 alpha=90.00 beta=90.00 gamma=90.00
Atoms (fractional coordinates):
S  0.286  0.286  0.000
S  0.714  0.714  0.000
S  0.786  0.214  0.500
S  0.214  0.786  0.500
W  0.000  0.000  0.000
W  0.500  0.500  0.500

---

Compound: WS
Source: OQMD via LeMat-Bulk
Functional: PBE
Structure: optimized geometry

Output
total energy	-8.070	eV per atom
space group	F-43m

Unit cell a=3.769 b=3.769 c=3.769 alpha=60.00 beta=60.00 gamma=60.00
Atoms (fractional coordinates):
S  0.000  0.000  0.000
W  0.250  0.250  0.250

---

Compound: WS2
Source: OQMD via LeMat-Bulk
Functional: PBE
Structure: optimized geometry

Output
total energy	-6.902	eV per atom
space group	P4/nmm

Unit cell a=3.096 b=3.096 c=11.412 alpha=90.00 beta=90.00 gamma=90.00
Atoms (fractional coordinates):
S  0.000  0.000  0.000
S  0.500  0.500  0.000
S  0.500  0.000  0.304
S  0.000  0.500  0.696
W  0.000  0.500  0.409
W  0.500  0.000  0.591

---

Compound: Y2ZnS4
Source: OQMD via LeMat-Bulk
Functional: PBE
Structure: optimized geometry

Output
total energy	-6.057	eV per atom
space group	Fd-3m

Unit cell a=7.782 b=7.782 c=7.782 alpha=60.00 beta=60.00 gamma=60.00
Atoms (fractional coordinates):
S  0.376  0.376  0.376
S  0.871  0.376  0.376
S  0.376  0.871  0.376
S  0.874  0.874  0.379
S  0.376  0.376  0.871
S  0.874  0.379  0.874
S  0.379  0.874  0.874
S  0.874  0.874  0.874
Y  0.625  0.625  0.125
Y  0.625  0.125  0.625
Y  0.125  0.625  0.625
Y  0.625  0.625  0.625
Zn  0.000  0.000  0.000
Zn  0.250  0.250  0.250

---

Compound: Y2ZnS4
Source: OQMD via LeMat-Bulk
Functional: PBE
Structure: optimized geometry

Output
total energy	-6.091	eV per atom
space group	Pnma

Unit cell a=13.548 b=7.899 c=6.338 alpha=90.00 beta=90.00 gamma=90.00
Atoms (fractional coordinates):
S  0.409  0.750  0.226
S  0.931  0.250  0.242
S  0.668  0.014  0.245
S  0.668  0.486  0.245
S  0.168  0.014  0.255
S  0.168  0.486  0.255
S  0.431  0.250  0.258
S  0.909  0.750  0.274
S  0.091  0.250  0.726
S  0.569  0.750  0.742
S  0.832  0.514  0.745
S  0.832  0.986  0.745
S  0.332  0.514  0.755
S  0.332  0.986  0.755
S  0.069  0.750  0.758
S  0.591  0.250  0.774
Y  0.500  0.000  0.000
Y  0.500  0.500  0.000
Y  0.234  0.750  0.004
Y  0.734  0.750  0.496
Y  0.000  0.000  0.500
Y  0.000  0.500  0.500
Y  0.266  0.250  0.504
Y  0.766  0.250  0.996
Zn  0.092  0.250  0.089
Zn  0.592  0.250  0.411
Zn  0.408  0.750  0.589
Zn  0.908  0.750  0.911

---

Compound: Zn2S
Source: OQMD via LeMat-Bulk
Functional: PBE
Structure: optimized geometry

Output
total energy	-1.965	eV per atom
space group	Fd-3m

Unit cell a=5.161 b=5.161 c=5.161 alpha=60.00 beta=60.00 gamma=60.00
Atoms (fractional coordinates):
S  0.000  0.000  0.000
S  0.250  0.250  0.250
Zn  0.625  0.625  0.125
Zn  0.625  0.125  0.625
Zn  0.125  0.625  0.625
Zn  0.625  0.625  0.625

---

Compound: Zr2S
Source: OQMD via LeMat-Bulk
Functional: PBE
Structure: optimized geometry

Output
total energy	-8.081	eV per atom
space group	I4/mcm

Unit cell a=5.848 b=5.265 c=5.265 alpha=107.96 beta=56.27 gamma=123.73
Atoms (fractional coordinates):
S  0.250  0.000  0.000
S  0.750  0.000  0.000
Zr  0.164  0.500  0.171
Zr  0.336  0.171  0.500
Zr  0.664  0.829  0.500
Zr  0.836  0.500  0.829

---

Compound: ZrS
Source: OQMD via LeMat-Bulk
Functional: PBE
Structure: optimized geometry

Output
total energy	-7.284	eV per atom
space group	F-43m

Unit cell a=4.068 b=4.068 c=4.068 alpha=60.00 beta=60.00 gamma=60.00
Atoms (fractional coordinates):
S  0.000  0.000  0.000
Zr  0.250  0.250  0.250

---

Compound: Zr2S
Source: OQMD via LeMat-Bulk
Functional: PBE
Structure: optimized geometry

Output
total energy	-8.177	eV per atom
space group	Pnnm

Unit cell a=12.386 b=15.374 c=3.544 alpha=90.00 beta=90.00 gamma=90.00
Atoms (fractional coordinates):
S  0.246  0.080  0.000
S  0.681  0.152  0.000
S  0.423  0.291  0.000
S  0.577  0.709  0.000
S  0.319  0.848  0.000
S  0.754  0.920  0.000
S  0.923  0.209  0.500
S  0.181  0.348  0.500
S  0.746  0.420  0.500
S  0.254  0.580  0.500
S  0.819  0.652  0.500
S  0.077  0.791  0.500
Zr  0.874  0.081  0.000
Zr  0.467  0.109  0.000
Zr  0.075  0.251  0.000
Zr  0.799  0.296  0.000
Zr  0.586  0.418  0.000
Zr  0.157  0.475  0.000
Zr  0.843  0.525  0.000
Zr  0.414  0.582  0.000
Zr  0.201  0.704  0.000
Zr  0.925  0.749  0.000
Zr  0.533  0.891  0.000
Zr  0.126  0.919  0.000
Zr  0.657  0.025  0.500
Zr  0.086  0.082  0.500
Zr  0.299  0.204  0.500
Zr  0.575  0.249  0.500
Zr  0.967  0.391  0.500
Zr  0.374  0.419  0.500
Zr  0.626  0.581  0.500
Zr  0.033  0.609  0.500
Zr  0.425  0.751  0.500
Zr  0.701  0.796  0.500
Zr  0.914  0.918  0.500
Zr  0.343  0.975  0.500

---

Compound: Zr2S
Source: OQMD via LeMat-Bulk
Functional: PBE
Structure: optimized geometry

Output
total energy	-6.743	eV per atom
space group	Fd-3m

Unit cell a=5.660 b=5.660 c=5.660 alpha=60.00 beta=60.00 gamma=60.00
Atoms (fractional coordinates):
S  0.000  0.000  0.000
S  0.250  0.250  0.250
Zr  0.625  0.625  0.125
Zr  0.625  0.125  0.625
Zr  0.125  0.625  0.625
Zr  0.625  0.625  0.625

---

Compound: Zr2S
Source: OQMD via LeMat-Bulk
Functional: PBE
Structure: optimized geometry

Output
total energy	-8.144	eV per atom
space group	P-3m1

Unit cell a=3.539 b=3.539 c=5.646 alpha=90.00 beta=90.00 gamma=120.00
Atoms (fractional coordinates):
S  0.000  0.000  0.000
Zr  0.333  0.667  0.282
Zr  0.667  0.333  0.718

---

Compound: Zr21S8
Source: OQMD via LeMat-Bulk
Functional: PBE
Structure: optimized geometry

Output
total energy	-8.228	eV per atom
space group	I4/m

Unit cell a=12.854 b=12.854 c=12.854 alpha=91.09 beta=91.09 gamma=164.11
Atoms (fractional coordinates):
S  0.133  0.933  0.066
S  0.794  0.354  0.148
S  0.067  0.133  0.200
S  0.646  0.794  0.440
S  0.354  0.206  0.560
S  0.933  0.867  0.800
S  0.206  0.646  0.852
S  0.867  0.067  0.934
Zr  0.000  0.000  0.000
Zr  0.806  0.200  0.006
Zr  0.454  0.636  0.090
Zr  0.636  0.546  0.181
Zr  0.396  0.810  0.205
Zr  0.273  0.967  0.240
Zr  0.033  0.273  0.306
Zr  0.915  0.454  0.369
Zr  0.200  0.194  0.394
Zr  0.810  0.604  0.414
Zr  0.546  0.915  0.461
Zr  0.454  0.085  0.539
Zr  0.190  0.396  0.586
Zr  0.800  0.806  0.606
Zr  0.085  0.546  0.631
Zr  0.967  0.727  0.694
Zr  0.727  0.033  0.760
Zr  0.604  0.190  0.795
Zr  0.364  0.454  0.819
Zr  0.546  0.364  0.910
Zr  0.194  0.800  0.994

---

> Which of these has the highest total energy?

Zn2S